# 1
This record from the Alexandria database describes crystalline KPuAs at its relaxed geometry. The functional is PBE-GGA.

Cell lengths 7.437, 7.437, 7.437 Å; angles 149.91, 149.91, 43.07 degrees
Fractional coordinates of all 3 atoms:
K: 0.000 0.000 0.000
Pu: 0.250 0.250 0.000
As: 0.678 0.678 0.000

Summary:
* calculated volume: 34.37 A^3/atom
* VASP energy: -21.04 eV/cell

# 2
This record from the Alexandria database describes crystalline ZrTl4Cd at its relaxed geometry. The functional is PBE-GGA.

Cell lengths 6.202, 6.202, 6.202 Å; angles 60.00, 60.00, 60.00 degrees
Fractional coordinates of all 6 atoms:
Zr: 0.000 0.000 0.000
Tl: 0.375 0.375 0.375
Tl: 0.375 0.375 0.875
Tl: 0.375 0.875 0.375
Tl: 0.875 0.375 0.375
Cd: 0.750 0.750 0.750

Summary:
* calculated volume: 28.12 A^3/atom
* VASP energy: -16.21 eV/cell

# 3
This record from the Alexandria database describes crystalline HfZnNi3 at its relaxed geometry. The functional is PBE-GGA.

Cell lengths 5.809, 5.809, 4.841 Å; angles 90.00, 90.00, 120.00 degrees
Fractional coordinates of all 10 atoms:
Hf: 0.333 0.667 0.250
Hf: 0.667 0.333 0.750
Zn: 0.000 0.000 0.000
Zn: 0.000 0.000 0.500
Ni: 0.200 0.400 0.750
Ni: 0.200 0.800 0.750
Ni: 0.400 0.200 0.250
Ni: 0.600 0.800 0.750
Ni: 0.800 0.200 0.250
Ni: 0.800 0.600 0.250

Summary:
* calculated volume: 14.15 A^3/atom
* VASP energy: -58.54 eV/cell
* ΔE to the lowest computed polymorph: 0.0 meV/atom

# 4
This record from the Alexandria database describes crystalline PaGa2TcH6 at its relaxed geometry. The functional is PBE-GGA.

Cell lengths 4.219, 6.073, 8.412 Å; angles 90.00, 118.09, 90.00 degrees
Fractional coordinates of all 20 atoms:
Pa: 0.000 0.000 0.000
Pa: 0.000 0.500 0.500
Ga: 0.220 0.068 0.712
Ga: 0.220 0.432 0.212
Ga: 0.780 0.568 0.788
Ga: 0.780 0.932 0.288
Tc: 0.500 0.000 0.500
Tc: 0.500 0.500 0.000
H: 0.144 0.123 0.299
H: 0.144 0.377 0.799
H: 0.293 0.678 0.091
H: 0.293 0.822 0.591
H: 0.456 0.698 0.430
H: 0.456 0.802 0.930
H: 0.544 0.198 0.070
H: 0.544 0.302 0.570
H: 0.707 0.178 0.409
H: 0.707 0.322 0.909
H: 0.856 0.623 0.201
H: 0.856 0.877 0.701

Summary:
* calculated volume: 9.51 A^3/atom
* VASP energy: -91.42 eV/cell

# 5
This record from the Alexandria database describes crystalline ZnHg3 at its relaxed geometry. The functional is PBE-GGA.

Cell lengths 3.521, 3.521, 9.074 Å; angles 90.00, 90.00, 120.00 degrees
Fractional coordinates of all 4 atoms:
Zn: 0.000 0.000 0.000
Hg: 0.000 0.000 0.500
Hg: 0.667 0.333 0.226
Hg: 0.667 0.333 0.774

Summary:
* calculated volume: 24.35 A^3/atom
* VASP energy: -1.81 eV/cell
* ΔE to the lowest computed polymorph: 23.7 meV/atom

# 6
This record from the Alexandria database describes crystalline VInN at its relaxed geometry. The functional is PBE-GGA.

Cell lengths 5.870, 5.870, 5.856 Å; angles 116.91, 116.91, 27.95 degrees
Fractional coordinates of all 6 atoms:
V: 0.107 0.107 0.028
V: 0.893 0.893 0.972
In: 0.155 0.155 0.588
In: 0.845 0.845 0.412
N: 0.464 0.464 0.791
N: 0.536 0.536 0.209

Summary:
* energy relative to the elements, uncorrected: 137 meV per atom
* calculated volume: 13.94 A^3/atom
* VASP energy: -39.54 eV/cell

Which formula does entry 3 have?
HfZnNi3

Copy entry 5 word for word.
This record from the Alexandria database describes crystalline ZnHg3 at its relaxed geometry. The functional is PBE-GGA.

Cell lengths 3.521, 3.521, 9.074 Å; angles 90.00, 90.00, 120.00 degrees
Fractional coordinates of all 4 atoms:
Zn: 0.000 0.000 0.000
Hg: 0.000 0.000 0.500
Hg: 0.667 0.333 0.226
Hg: 0.667 0.333 0.774

Summary:
* calculated volume: 24.35 A^3/atom
* VASP energy: -1.81 eV/cell
* ΔE to the lowest computed polymorph: 23.7 meV/atom

The highest VASP energy belongs to which entry?
ZnHg3

Which value of calculated volume does entry 3 give?
14.15 A^3/atom